Nd5Er3Th2 | PBE | relaxed

Cell: 9.800 9.828 11.159 Å, 127.26 127.20 67.91°
Atoms (fractional coordinates):
Nd1 0.124 0.376 0.241
Nd2 0.022 0.772 0.545
Nd3 0.978 0.228 0.455
Nd4 0.383 0.135 0.759
Nd5 0.617 0.865 0.241
Nd6 0.480 0.730 0.460
Nd7 0.723 0.473 0.947
Nd8 0.876 0.624 0.759
Nd9 0.520 0.270 0.540
Nd10 0.277 0.527 0.053
Th1 0.782 0.024 0.755
Th2 0.218 0.976 0.245
Th3 0.527 0.269 0.245
Th4 0.473 0.731 0.755
Er1 0.773 0.023 0.046
Er2 0.274 0.534 0.755
Er3 0.726 0.466 0.245
Er4 0.019 0.780 0.245
Er5 0.981 0.220 0.755
Er6 0.227 0.977 0.954

---

Nd6Er2Th | PBE | relaxed

Cell: 3.626 3.626 27.113 Å, 90.00 90.00 120.00°
Atoms (fractional coordinates):
Nd1 0.333 0.667 0.433
Nd2 0.667 0.333 0.891
Nd3 0.333 0.667 0.567
Nd4 0.667 0.333 0.109
Nd5 0.333 0.667 0.223
Nd6 0.333 0.667 0.777
Th1 0.333 0.667 0.000
Er1 0.667 0.333 0.670
Er2 0.667 0.333 0.330

---

NdEr2Th2 | PBE | relaxed

Cell: 3.580 3.580 14.630 Å, 82.97 82.97 60.00°
Atoms (fractional coordinates):
Er1 0.599 0.599 0.204
Er2 0.401 0.401 0.796
Nd1 0.000 0.000 0.000
Th1 0.199 0.199 0.402
Th2 0.801 0.801 0.598

Summary:
Relative energy among the computed polymorphs (meV/atom): 0

---

Nd2Er3Th3 | PBE | relaxed

Cell: 3.650 9.088 9.088 Å, 119.99 90.00 90.00°
Atoms (fractional coordinates):
Nd1 0.000 0.333 0.667
Nd2 0.000 0.667 0.333
Th1 0.000 0.226 0.226
Th2 0.000 0.774 0.000
Th3 0.000 0.000 0.774
Er1 0.500 0.000 0.394
Er2 0.500 0.606 0.606
Er3 0.500 0.394 0.000

---

Nd2ErTh2 | PBE | relaxed

Cell: 3.609 3.609 14.806 Å, 83.00 83.00 60.00°
Atoms (fractional coordinates):
Th1 0.398 0.398 0.805
Th2 0.602 0.602 0.195
Er1 0.000 0.000 0.000
Nd1 0.203 0.203 0.390
Nd2 0.797 0.797 0.610

---

Nd2Er3Th2 | PBE | relaxed

Cell: 3.598 9.541 7.973 Å, 64.32 76.98 100.88°
Atoms (fractional coordinates):
Er1 0.000 0.000 0.000
Er2 0.704 0.565 0.159
Er3 0.296 0.435 0.841
Nd1 0.426 0.143 0.290
Nd2 0.574 0.857 0.710
Th1 0.857 0.289 0.576
Th2 0.143 0.711 0.424

Summary:
Relative energy among the computed polymorphs (meV/atom): 0

---

Nd6ErTh2 | PBE | relaxed

Cell: 3.620 3.620 27.154 Å, 90.00 90.00 120.00°
Atoms (fractional coordinates):
Nd1 0.333 0.667 0.894
Nd2 0.000 0.000 0.220
Nd3 0.000 0.000 0.780
Nd4 0.333 0.667 0.106
Nd5 0.000 0.000 0.436
Nd6 0.000 0.000 0.564
Er1 0.000 0.000 0.000
Th1 0.333 0.667 0.671
Th2 0.333 0.667 0.329

---

Nd12ErTh5 | PBE | relaxed

Cell: 15.556 10.934 5.135 Å, 90.01 90.01 44.65°
Atoms (fractional coordinates):
Th1 0.500 0.000 0.500
Th2 0.165 0.671 0.500
Th3 0.668 0.663 0.000
Th4 0.332 0.337 0.000
Th5 0.835 0.329 0.500
Nd1 0.838 0.000 0.500
Nd2 0.492 0.333 0.500
Nd3 0.162 0.000 0.500
Nd4 0.993 0.333 0.000
Nd5 0.326 0.667 0.000
Nd6 0.825 0.667 0.500
Nd7 0.007 0.667 0.000
Nd8 0.674 0.333 0.000
Nd9 0.508 0.667 0.500
Nd10 0.175 0.333 0.500
Nd11 0.343 0.000 0.000
Nd12 0.657 0.000 0.000
Er1 0.000 0.000 0.000

---

Nd2Er8Th3 | PBE | relaxed

Cell: 5.606 6.752 11.973 Å, 106.36 103.46 89.99°
Atoms (fractional coordinates):
Er1 0.424 0.425 0.849
Er2 0.852 0.593 0.704
Er3 0.852 0.111 0.704
Er4 0.148 0.889 0.296
Er5 0.322 0.822 0.645
Er6 0.678 0.178 0.355
Er7 0.576 0.575 0.151
Er8 0.148 0.407 0.296
Nd1 0.275 0.275 0.551
Nd2 0.725 0.725 0.449
Th1 0.000 0.268 0.000
Th2 0.500 0.000 0.000
Th3 0.000 0.732 0.000

Summary:
Relative energy among the computed polymorphs (meV/atom): 0

---

Nd12Er6Th | PBE | relaxed

Cell: 8.675 8.675 8.675 Å, 89.01 89.01 89.01°
Atoms (fractional coordinates):
Nd1 0.806 0.641 0.983
Nd2 0.983 0.806 0.641
Nd3 0.359 0.017 0.194
Nd4 0.535 0.437 0.783
Nd5 0.194 0.359 0.017
Nd6 0.437 0.783 0.535
Nd7 0.465 0.563 0.217
Nd8 0.641 0.983 0.806
Nd9 0.783 0.535 0.437
Nd10 0.217 0.465 0.563
Nd11 0.563 0.217 0.465
Nd12 0.017 0.194 0.359
Er1 0.901 0.296 0.745
Er2 0.099 0.704 0.255
Er3 0.704 0.255 0.099
Er4 0.296 0.745 0.901
Er5 0.745 0.901 0.296
Er6 0.255 0.099 0.704
Th1 0.000 0.000 0.000

Summary:
Relative energy among the computed polymorphs (meV/atom): 101

---

Nd5Er2Th | PBE | relaxed

Cell: 5.125 7.242 14.486 Å, 90.00 90.00 90.00°
Atoms (fractional coordinates):
Nd1 0.000 0.000 0.000
Nd2 0.500 0.248 0.377
Nd3 0.500 0.252 0.877
Nd4 0.000 0.507 0.248
Nd5 0.000 0.493 0.752
Nd6 0.500 0.748 0.123
Nd7 0.000 0.007 0.252
Nd8 0.000 0.993 0.748
Nd9 0.000 0.500 0.500
Nd10 0.500 0.752 0.623
Er1 0.500 0.240 0.622
Er2 0.500 0.260 0.122
Er3 0.500 0.760 0.378
Er4 0.500 0.740 0.878
Th1 0.000 0.500 0.000
Th2 0.000 0.000 0.500

---

Nd3Er8Th3 | PBE | relaxed

Cell: 5.628 9.660 9.660 Å, 102.63 73.08 73.08°
Atoms (fractional coordinates):
Er1 0.840 0.557 0.764
Er2 0.160 0.443 0.236
Er3 0.160 0.236 0.443
Er4 0.342 0.882 0.434
Er5 0.840 0.764 0.557
Er6 0.658 0.566 0.118
Er7 0.658 0.118 0.566
Er8 0.342 0.434 0.882
Nd1 0.191 0.810 0.810
Nd2 0.809 0.190 0.190
Nd3 0.500 0.500 0.500
Th1 0.000 0.813 0.187
Th2 0.000 0.187 0.813
Th3 0.500 0.000 0.000

---

Formation energy in meV/atom, matching the order above: 216 59 16 161 34 34 70 35 164 125 25 158